The following is a DFT calculation (GGA-PBE) of an optimized crystal structure of Nb2TcPtC.

Output
Total energy: -9.49 eV/atom
Energy of formation from the pure elements: -0.33 eV/atom
ρ: 11.002 g/cm3
Calculated volume: 74 Å³ per cell

```
Nb2TcPtC
1.0
4.279 0.000 0.000
0.000 4.279 0.000
0.000 0.000 4.046
Nb Tc Pt C
2 1 1 1
direct
0.000 0.500 0.000 Nb
0.500 0.000 0.000 Nb
0.000 0.000 0.500 Tc
0.500 0.500 0.500 Pt
0.000 0.000 0.000 C
```